Entry from Alexandria via LeMat-Bulk: a relaxed SmCu6O8 crystal (PBE-GGA).

Unit cell a=5.5485 b=5.5485 c=5.5485 alpha=90.00 beta=90.00 gamma=90.00
Space group Pm-3 (No. 200)
Inequivalent atoms, fractional coordinates:
Sm 0.0000 0.0000 0.0000 (multiplicity 1)
Cu 0.0000 0.2653 0.5000 (multiplicity 6)
O 0.2474 0.2474 0.2474 (multiplicity 8)

Formation energy from raw total energies   -0.970 eV/atom
Theoretical density   6.41 Mg/m³